# Ce6Hg3Os

A relaxed structure of Ce6Hg3Os (PBE, Alexandria).

Results
SG: No. 12

a = 8.2808 Å, b = 5.9947 Å, c = 5.9947 Å
α = 70.08°, β = 78.28°, γ = 78.28°
Site moments in Bohr magnetons follow the coordinates.
Positions (direct):
1 Ce 0.3666 0.0831 0.6686  0.47
2 Ce 0.6334 0.3314 0.9169  0.47
3 Ce 0.6334 0.9169 0.3314  0.47
4 Ce 0.3666 0.6686 0.0831  0.47
5 Ce 0.1300 0.6469 0.6469  0.90
6 Ce 0.8700 0.3531 0.3531  0.90
7 Hg 0.2458 0.1810 0.1810  0.00
8 Hg 0.7542 0.8190 0.8190  0.00
9 Hg 0.0000 0.0000 0.0000  0.00
10 Os 0.5000 0.5000 0.5000  -0.10

# Ce2HgOs

A relaxed structure of Ce2HgOs (PBE, Alexandria).

Results
SG: No. 123

a = 3.2763 Å, b = 3.2763 Å, c = 8.7434 Å
α = 90.00°, β = 90.00°, γ = 90.00°
Positions (direct):
1 Os 0.5000 0.5000 0.0000
2 Hg 0.5000 0.5000 0.5000
3 Ce 0.0000 0.0000 0.7895
4 Ce 0.0000 0.0000 0.2105

# Ce3HgOs

A relaxed structure of Ce3HgOs (PBE, Alexandria).

Results
SG: No. 221

a = 5.4054 Å, b = 5.4054 Å, c = 5.4054 Å
α = 90.00°, β = 90.00°, γ = 90.00°
Site moments in Bohr magnetons follow the coordinates.
Positions (direct):
1 Os 0.0000 0.0000 0.0000  -0.07
2 Hg 0.5000 0.5000 0.5000  0.02
3 Ce 0.0000 0.5000 0.0000  0.73
4 Ce 0.0000 0.0000 0.5000  0.73
5 Ce 0.5000 0.0000 0.0000  0.73

# Ce6HgOs2

A relaxed structure of Ce6HgOs2 (PBE, Alexandria).

Results
SG: No. 12

a = 4.8554 Å, b = 5.6993 Å, c = 8.8813 Å
α = 95.00°, β = 90.00°, γ = 115.21°
Site moments in Bohr magnetons follow the coordinates.
Positions (direct):
1 Ce 0.0573 0.1145 0.8629  -0.03
2 Ce 0.6083 0.2167 0.1708  0.03
3 Ce 0.3917 0.7833 0.8292  0.03
4 Ce 0.7007 0.4015 0.5980  0.37
5 Ce 0.2993 0.5985 0.4020  0.37
6 Ce 0.9427 0.8855 0.1371  -0.03
7 Hg 0.0000 0.0000 0.5000  0.00
8 Os 0.7316 0.4632 0.8839  -0.02
9 Os 0.2684 0.5368 0.1161  -0.02

# Ce4HgOs

A relaxed structure of Ce4HgOs (PBE, Alexandria).

Results
SG: No. 216

a = 9.6940 Å, b = 9.6940 Å, c = 9.6940 Å
α = 60.00°, β = 60.00°, γ = 60.00°
Site moments in Bohr magnetons follow the coordinates.
Positions (direct):
1 Ce 0.4011 0.4011 0.4011  0.60
2 Ce 0.7967 0.4011 0.4011  0.60
3 Ce 0.4011 0.7967 0.4011  0.60
4 Ce 0.4011 0.4011 0.7967  0.60
5 Ce 0.5572 0.5572 0.9428  0.58
6 Ce 0.9428 0.9428 0.5572  0.58
7 Ce 0.5572 0.9428 0.5572  0.58
8 Ce 0.9428 0.5572 0.9428  0.58
9 Ce 0.9428 0.5572 0.5572  0.58
10 Ce 0.5572 0.9428 0.9428  0.58
11 Ce 0.1935 0.1935 0.8065  0.94
12 Ce 0.8065 0.8065 0.1935  0.94
13 Ce 0.1935 0.8065 0.1935  0.94
14 Ce 0.8065 0.1935 0.8065  0.94
15 Ce 0.8065 0.1935 0.1935  0.94
16 Ce 0.1935 0.8065 0.8065  0.94
17 Hg 0.1678 0.1678 0.1678  0.01
18 Hg 0.4967 0.1678 0.1678  0.01
19 Hg 0.1678 0.4967 0.1678  0.01
20 Hg 0.1678 0.1678 0.4967  0.01
21 Os 0.6117 0.6117 0.6117  -0.08
22 Os 0.1648 0.6117 0.6117  -0.08
23 Os 0.6117 0.1648 0.6117  -0.08
24 Os 0.6117 0.6117 0.1648  -0.08

# Ce5HgOs

A relaxed structure of Ce5HgOs (PBE, Alexandria).

Results
SG: No. 44

a = 9.6902 Å, b = 6.4713 Å, c = 6.4651 Å
α = 120.03°, β = 138.54°, γ = 90.00°
Positions (direct):
1 Ce 0.1541 0.2425 0.4850
2 Ce 0.0112 0.5000 0.0000
3 Ce 0.6691 0.7575 0.5150
4 Ce 0.2439 0.2218 0.0000
5 Ce 0.2439 0.7782 0.0000
6 Hg 0.6953 0.5000 0.0000
7 Os 0.5133 0.0000 0.0000

# Ce8HgOs6

A relaxed structure of Ce8HgOs6 (PBE, Alexandria).

Results
SG: No. 147

a = 4.1195 Å, b = 10.0786 Å, c = 10.0786 Å
α = 120.00°, β = 90.00°, γ = 90.00°
Positions (direct):
1 Ce 0.7579 0.6732 0.9474
2 Ce 0.7579 0.0526 0.7258
3 Ce 0.7579 0.2742 0.3268
4 Ce 0.2421 0.3268 0.0526
5 Ce 0.2421 0.9474 0.2742
6 Ce 0.2421 0.7258 0.6732
7 Ce 0.7472 0.6667 0.3333
8 Ce 0.2528 0.3333 0.6667
9 Hg 0.5000 0.0000 0.0000
10 Os 0.7470 0.5281 0.6184
11 Os 0.7470 0.3816 0.9096
12 Os 0.7470 0.0904 0.4719
13 Os 0.2530 0.4719 0.3816
14 Os 0.2530 0.6184 0.0904
15 Os 0.2530 0.9096 0.5281

# Ce2HgOs

A relaxed structure of Ce2HgOs (PBE, Alexandria).

Results
SG: No. 225

a = 5.1155 Å, b = 5.1155 Å, c = 5.1155 Å
α = 60.00°, β = 60.00°, γ = 60.00°
Site moments in Bohr magnetons follow the coordinates.
Positions (direct):
1 Os 0.5000 0.5000 0.5000  -0.12
2 Hg 0.0000 0.0000 0.0000  0.00
3 Ce 0.2500 0.2500 0.2500  0.39
4 Ce 0.7500 0.7500 0.7500  0.39

# Ce3Hg2Os

A relaxed structure of Ce3Hg2Os (PBE, Alexandria).

Results
SG: No. 12

a = 7.6252 Å, b = 7.0329 Å, c = 7.7969 Å
α = 82.54°, β = 76.14°, γ = 57.17°
Site moments in Bohr magnetons follow the coordinates.
Positions (direct):
1 Ce 0.4502 0.6326 0.7742  0.67
2 Ce 0.3139 0.0000 0.1856  0.54
3 Ce 0.5498 0.3674 0.2258  0.67
4 Ce 0.9172 0.6326 0.2258  0.67
5 Ce 0.0828 0.3674 0.7742  0.67
6 Ce 0.6861 0.0000 0.8144  0.54
7 Hg 0.0000 0.0000 0.0000  0.02
8 Hg 0.5000 0.0000 0.5000  0.02
9 Hg 0.1286 0.7428 0.5000  0.02
10 Hg 0.8714 0.2572 0.5000  0.02
11 Os 0.6784 0.6433 0.0000  -0.09
12 Os 0.3216 0.3567 0.0000  -0.09

# Ce5HgOs

A relaxed structure of Ce5HgOs (PBE, Alexandria).

Results
SG: No. 123

a = 5.0103 Å, b = 5.0103 Å, c = 7.3644 Å
α = 90.00°, β = 90.00°, γ = 90.00°
Site moments in Bohr magnetons follow the coordinates.
Positions (direct):
1 Ce 0.0000 0.5000 0.7962  0.52
2 Ce 0.0000 0.5000 0.2038  0.52
3 Ce 0.5000 0.0000 0.7962  0.52
4 Ce 0.5000 0.0000 0.2038  0.52
5 Ce 0.5000 0.5000 0.5000  0.91
6 Hg 0.0000 0.0000 0.5000  0.00
7 Os 0.5000 0.5000 0.0000  -0.09

# Ce3HgOs

A relaxed structure of Ce3HgOs (PBE, Alexandria).

Results
SG: No. 12

a = 5.5188 Å, b = 6.4231 Å, c = 8.8333 Å
α = 108.35°, β = 90.00°, γ = 115.44°
Site moments in Bohr magnetons follow the coordinates.
Positions (direct):
1 Ce 0.8707 0.7413 0.7278  0.43
2 Ce 0.1293 0.2587 0.2722  0.43
3 Ce 0.6325 0.2651 0.9409  0.19
4 Ce 0.3675 0.7349 0.0591  0.19
5 Ce 0.8662 0.7323 0.3703  0.62
6 Ce 0.1338 0.2677 0.6297  0.62
7 Hg 0.4077 0.8155 0.5803  0.00
8 Hg 0.5923 0.1845 0.4197  0.00
9 Os 0.1066 0.2131 0.9396  -0.05
10 Os 0.8934 0.7869 0.0604  -0.05

# Ce6HgOs3

A relaxed structure of Ce6HgOs3 (PBE, Alexandria).

Results
SG: No. 11

a = 4.1436 Å, b = 11.5916 Å, c = 11.8615 Å
α = 108.12°, β = 90.00°, γ = 90.00°
Site moments in Bohr magnetons follow the coordinates.
Positions (direct):
1 Ce 0.7500 0.4699 0.6020  0.36
2 Ce 0.2500 0.5301 0.3980  0.36
3 Ce 0.7500 0.9225 0.0878  0.38
4 Ce 0.2500 0.0775 0.9122  0.38
5 Ce 0.7500 0.3846 0.0384  0.31
6 Ce 0.2500 0.6154 0.9616  0.31
7 Ce 0.7500 0.6984 0.2590  0.51
8 Ce 0.2500 0.3016 0.7410  0.51
9 Ce 0.7500 0.1413 0.4513  0.57
10 Ce 0.2500 0.8587 0.5487  0.57
11 Ce 0.7500 0.7595 0.7658  0.49
12 Ce 0.2500 0.2405 0.2342  0.49
13 Hg 0.7500 0.0662 0.6993  0.02
14 Hg 0.2500 0.9338 0.3007  0.02
15 Os 0.7500 0.4726 0.8333  -0.07
16 Os 0.2500 0.5274 0.1667  -0.07
17 Os 0.7500 0.6884 0.5017  -0.08
18 Os 0.2500 0.3116 0.4983  -0.08
19 Os 0.7500 0.1594 0.0810  -0.07
20 Os 0.2500 0.8406 0.9190  -0.07

In the order shown, the computed formation enthalpy at 0 K values come out to -116 -266 -33 -232 -192 241 -108 -112 -203 -106 -192 -153 meV/atom.